A relaxed structure of Sb2PbBr, computed with PBE.

Cell: 4.0804 4.0804 27.7462 Å, 90.00 90.00 120.00°
With the nearest neighbours (Å) after each atom.
Space group R3m (No. 160, hexagonal axes)
Symmetry-distinct sites (fractional):
Sb: 0.0000 0.0000 0.0000 (multiplicity 3)  3 Sb 2.92
Sb: 0.0000 0.0000 0.2714 (multiplicity 3)  3 Sb 2.92
Pb: 0.0000 0.0000 0.7624 (multiplicity 3)  3 Br 3.13
Br: 0.0000 0.0000 0.5035 (multiplicity 3)  3 Pb 3.13

Values from the calculation:
M_tot	0.00	μB/f.u.
distance to the lowest polymorph of the same formula	0.019	eV/atom
total DFT energy (no corrections)	-3.55	eV per atom